The following is a PBE calculation of a relaxed structure of BaLiTbSe3, from the Alexandria database.

Calculated values
spin magnetization = 0.00 μB/f.u.
volume = 341.72 Å³/cell
SG = P2_1/m
raw formation energy = -1.82 eV/atom

abc: 4.267 8.899 9.322
angles: 105.13 90.00 90.00
Element x y z (fractional)
Ba (0.750, 0.805, 0.757)
Ba (0.250, 0.195, 0.243)
Li (0.250, 0.086, 0.591)
Li (0.750, 0.914, 0.409)
Tb (0.250, 0.672, 0.159)
Tb (0.750, 0.328, 0.841)
Se (0.250, 0.790, 0.476)
Se (0.750, 0.885, 0.132)
Se (0.750, 0.449, 0.164)
Se (0.750, 0.210, 0.524)
Se (0.250, 0.551, 0.836)
Se (0.250, 0.115, 0.868)

---

The following is a PBE calculation of a relaxed structure of KRbHg3, from the Alexandria database.

Calculated values
formation energy = -0.2475 eV per atom
spin magnetization = 0.00 μB/f.u.
volume = 390.31 Å³/cell
SG = Cmcm

abc: 5.262 4.636 16.166
angles: 98.24 90.00 90.00
Element x y z (fractional)
K (0.250, 0.070, 0.139)
K (0.750, 0.930, 0.861)
Rb (0.250, 0.794, 0.588)
Rb (0.750, 0.206, 0.412)
Hg (0.250, 0.381, 0.763)
Hg (0.750, 0.619, 0.237)
Hg (0.250, 0.476, 0.952)
Hg (0.750, 0.524, 0.048)
Hg (0.750, 0.330, 0.661)
Hg (0.250, 0.670, 0.339)

---

The following is a PBE calculation of a relaxed structure of La3CoPb, from the Alexandria database.

Calculated values
formation energy = -0.1043 eV per atom
spin magnetization = 0.00 μB/f.u.
volume = 159.12 Å³/cell
SG = Amm2

abc: 3.741 6.661 6.661
angles: 73.51 90.00 90.00
Element x y z (fractional)
Pb (0.500, 0.409, 0.591)
Co (0.000, 0.699, 0.301)
La (0.500, 0.540, 0.078)
La (0.500, 0.922, 0.460)
La (0.000, 0.058, 0.942)

---

The following is a PBE calculation of a relaxed structure of DyZrAu4, from the Alexandria database.

Calculated values
formation energy = -0.7153 eV per atom
spin magnetization = 0.00 μB/f.u.
volume = 120.84 Å³/cell
SG = P4/mmm

abc: 3.671 3.671 8.966
angles: 90.00 90.00 90.00
Element x y z (fractional)
Dy (0.500, 0.500, 0.500)
Zr (0.000, 0.000, 0.000)
Au (0.500, 0.500, 0.839)
Au (0.500, 0.500, 0.161)
Au (0.000, 0.000, 0.672)
Au (0.000, 0.000, 0.328)

---

The following is a PBE calculation of a relaxed structure of GaAu2O, from the Alexandria database.

Calculated values
spin magnetization = 0.00 μB/f.u.
volume = 60.34 Å³/cell
SG = Fm-3m
raw formation energy = 0.14 eV/atom

abc: 4.403 4.403 4.403
angles: 60.00 60.00 60.00
Element x y z (fractional)
Au (0.250, 0.250, 0.250)
Au (0.750, 0.750, 0.750)
O (0.000, 0.000, 0.000)
Ga (0.500, 0.500, 0.500)

---

The following is a PBE calculation of a relaxed structure of CdBi2Se2, from the Alexandria database.

Calculated values
spin magnetization = 0.00 μB/f.u.
volume = 271.78 Å³/cell
SG = P4/mbm
raw formation energy = 0.02 eV/atom

abc: 8.395 8.395 3.856
angles: 90.00 90.00 90.00
Element x y z (fractional)
Bi (0.163, 0.663, 0.500)
Bi (0.663, 0.837, 0.500)
Bi (0.837, 0.337, 0.500)
Bi (0.337, 0.163, 0.500)
Se (0.350, 0.850, 0.000)
Se (0.850, 0.650, 0.000)
Se (0.650, 0.150, 0.000)
Se (0.150, 0.350, 0.000)
Cd (0.000, 0.000, 0.000)
Cd (0.500, 0.500, 0.000)

---

The following is a PBE calculation of a relaxed structure of SrAc4Ru, from the Alexandria database.

Calculated values
formation energy = -0.0595 eV per atom
spin magnetization = 0.00 μB/f.u.
volume = 516.04 Å³/cell
SG = Cmc2_1

abc: 6.101 8.261 10.685
angles: 90.00 106.59 90.00
Element x y z (fractional)
Sr (0.889, 0.781, 0.779)
Sr (0.111, 0.281, 0.221)
Ac (0.890, 0.281, 0.779)
Ac (0.110, 0.781, 0.221)
Ac (0.500, 0.030, 0.000)
Ac (0.500, 0.530, 0.000)
Ac (0.698, 0.534, 0.395)
Ac (0.302, 0.034, 0.605)
Ac (0.697, 0.027, 0.395)
Ac (0.303, 0.527, 0.605)
Ru (0.595, 0.780, 0.190)
Ru (0.405, 0.280, 0.810)

---

The following is a PBE calculation of a relaxed structure of BaTaRe2, from the Alexandria database.

Calculated values
formation energy = 0.8318 eV per atom
spin magnetization = 0.00 μB/f.u.
volume = 92.86 Å³/cell
SG = C2/m

abc: 4.526 4.526 7.000
angles: 84.53 84.53 40.61
Element x y z (fractional)
Re (0.022, 0.022, 0.907)
Re (0.478, 0.478, 0.593)
Ba (0.250, 0.250, 0.250)
Ta (0.750, 0.750, 0.750)

---

The following is a PBE calculation of a relaxed structure of AlV2Ge, from the Alexandria database.

Calculated values
formation energy = -0.0817 eV per atom
spin magnetization = 0.00 μB/f.u.
volume = 58.07 Å³/cell
SG = R3m

abc: 2.795 2.795 8.736
angles: 80.80 80.80 60.00
Element x y z (fractional)
Al (0.500, 0.500, 0.500)
V (0.082, 0.082, 0.753)
V (0.251, 0.251, 0.247)
Ge (0.667, 0.667, 0.000)

---

The following is a PBE calculation of a relaxed structure of MnFeBP, from the Alexandria database.

Calculated values
formation energy = -0.1151 eV per atom
spin magnetization = 0.00 μB/f.u.
volume = 39.62 Å³/cell
SG = P1

abc: 2.711 3.860 3.972
angles: 100.94 95.86 101.22
Element x y z (fractional)
P (0.373, 0.824, 0.745)
B (0.845, 0.503, 0.350)
Mn (0.781, 0.385, 0.825)
Fe (0.182, 0.054, 0.269)

---

The following is a PBE calculation of a relaxed structure of BeIrPd2, from the Alexandria database.

Calculated values
formation energy = 0.3176 eV per atom
spin magnetization = 0.00 μB/f.u.
volume = 118.13 Å³/cell
SG = I-42d

abc: 3.626 3.626 9.342
angles: 78.81 78.81 90.00
Element x y z (fractional)
Be (0.500, 0.500, 0.000)
Be (0.250, 0.750, 0.500)
Ir (0.000, 0.000, 0.000)
Ir (0.750, 0.250, 0.500)
Pd (0.621, 0.125, 0.250)
Pd (0.129, 0.625, 0.250)
Pd (0.375, 0.379, 0.750)
Pd (0.875, 0.871, 0.750)

---

The following is a PBE calculation of a relaxed structure of CaHfIn6, from the Alexandria database.

Calculated values
formation energy = -0.1893 eV per atom
spin magnetization = 0.00 μB/f.u.
volume = 194.13 Å³/cell
SG = P4/mmm

abc: 4.576 4.576 9.272
angles: 90.00 90.00 90.00
Element x y z (fractional)
Ca (0.000, 0.000, 0.000)
Hf (0.000, 0.000, 0.500)
In (0.500, 0.500, 0.000)
In (0.500, 0.500, 0.500)
In (0.500, 0.000, 0.259)
In (0.500, 0.000, 0.741)
In (0.000, 0.500, 0.259)
In (0.000, 0.500, 0.741)

---

The following is a PBE calculation of a relaxed structure of Tb2NdTl2Cd2, from the Alexandria database.

Calculated values
formation energy = -0.1733 eV per atom
spin magnetization = 0.00 μB/f.u.
volume = 194.32 Å³/cell
SG = R-3m

abc: 5.037 5.037 9.311
angles: 74.31 74.31 60.00
Element x y z (fractional)
Tb (0.134, 0.134, 0.599)
Tb (0.866, 0.866, 0.401)
Nd (0.000, 0.000, 0.000)
Tl (0.732, 0.732, 0.804)
Tl (0.268, 0.268, 0.196)
Cd (0.570, 0.570, 0.289)
Cd (0.430, 0.430, 0.711)